1.
Density functional theory data (PBE) for crystalline NaZr2Tl2 at its relaxed geometry.

Cell lengths 4.1339, 4.1339, 8.2816 Å; angles 75.55, 75.55, 90.00 degrees
Atoms (fractional coordinates):
1 Tl 0.5956 0.5956 0.8089
2 Tl 0.4044 0.4044 0.1911
3 Zr 0.2500 0.7500 0.5000
4 Zr 0.7500 0.2500 0.5000
5 Na 0.0000 0.0000 0.0000

Output
* energy of formation: 0.257 eV/atom
* space-group type: I4/mmm

2.
Density functional theory data (PBE) for crystalline SbPRh2 at its relaxed geometry.

Cell lengths 4.5238, 4.5238, 4.5238 Å; angles 60.00, 60.00, 60.00 degrees
Atoms (fractional coordinates):
1 Sb 0.2500 0.2500 0.2500
2 Rh 0.7500 0.7500 0.7500
3 P 0.5000 0.5000 0.5000
4 Rh 0.0000 0.0000 0.0000

Output
* energy relative to the elements, uncorrected: 0.254 eV per atom
* space-group type: F-43m

3.
Density functional theory data (PBE) for crystalline SrLiZr2 at its relaxed geometry.

Cell lengths 4.2009, 4.2009, 12.5493 Å; angles 80.36, 80.36, 90.00 degrees
Atoms (fractional coordinates):
1 Sr 0.7500 0.2500 0.5000
2 Zr 0.8750 0.8590 0.7500
3 Zr 0.6090 0.1250 0.2500
4 Li 0.2500 0.7500 0.5000
5 Sr 0.0000 0.0000 0.0000
6 Zr 0.3750 0.3910 0.7500
7 Li 0.5000 0.5000 0.0000
8 Zr 0.1410 0.6250 0.2500

Output
* energy of formation: 0.616 eV/atom
* space-group type: I-42d

Table of ΔE to the lowest computed polymorph (eV per atom), in record order: 0.191 0.701 0.360